1.
A relaxed structure of BeGa2O, computed with GGA-PBE.

```
BeGa2O
1.0
0.0000 3.0057 3.0057
3.0057 0.0000 3.0057
3.0057 3.0057 0.0000
Ga Be O
2 1 1
Direct
0.7500 0.7500 0.7500
0.2500 0.2500 0.2500
0.0000 0.0000 0.0000
0.5000 0.5000 0.5000
```

Computed properties:
- formation energy (no corrections) (meV per atom) = 289
- excess energy over the best structure of this formula in the dataset (eV per formula unit) = 2.284
- space group = Fm-3m

***

2.
A relaxed structure of BeGaOsO6, computed with GGA-PBE.

```
BeGaOsO6
1.0
4.7949 0.0000 0.0000
-2.3974 4.1525 0.0000
0.0000 0.0000 8.6893
Ga Os O Be
2 2 12 2
Direct
0.0000 0.0000 0.0000
0.0000 0.0000 0.5000
0.3333 0.6667 0.2500
0.6667 0.3333 0.7500
0.0094 0.6575 0.8674
0.9906 0.3425 0.1326
0.3425 0.3519 0.8674
0.6575 0.6481 0.1326
0.0094 0.3519 0.6326
0.3519 0.3425 0.3674
0.3425 0.9906 0.6326
0.6575 0.0094 0.3674
0.6481 0.6575 0.6326
0.9906 0.6481 0.3674
0.6481 0.9906 0.8674
0.3519 0.0094 0.1326
0.6667 0.3333 0.2500
0.3333 0.6667 0.7500
```

Computed properties:
- formation energy (no corrections) (meV per atom) = -1357
- space group = P-31c

***

3.
A relaxed structure of BeGaPO2, computed with GGA-PBE.

```
BeGaPO2
1.0
-3.3491 -0.0755 0.7323
0.6108 -2.1891 2.5678
0.6065 3.8943 3.1757
Be O P Ga
1 2 1 1
Direct
0.0000 0.0000 0.0000
0.5000 0.0000 0.0000
0.0000 0.5000 0.0000
0.0000 0.0000 0.5000
0.5000 0.5000 0.5000
```

Computed properties:
- formation energy (no corrections) (meV per atom) = -383
- excess energy over the best structure of this formula in the dataset (eV per formula unit) = 0.000
- space group = P4/mmm

***

4.
A relaxed structure of BeGaPO2, computed with GGA-PBE.

```
BeGaPO2
1.0
-3.2450 1.3406 0.8853
-1.5295 -1.9676 -2.6267
-0.7599 -4.2188 3.6027
O Ga P Be
2 1 1 1
Direct
0.5000 0.0000 0.0000
0.0000 0.5000 0.0000
0.0000 0.0000 0.0000
0.0000 0.0000 0.5000
0.5000 0.5000 0.5000
```

Computed properties:
- formation energy (no corrections) (meV per atom) = 27
- excess energy over the best structure of this formula in the dataset (eV per formula unit) = 2.047
- space group = P4/mmm

***

5.
A relaxed structure of PaBeGaO6, computed with GGA-PBE.

```
PaBeGaO6
1.0
4.7502 0.0000 0.0000
0.0000 4.9191 0.0000
0.0000 -2.4595 4.2600
O Pa Ga Be
6 1 1 1
Direct
0.7229 0.6969 0.6863
0.7229 0.9894 0.3031
0.7229 0.3137 0.0106
0.2771 0.6969 0.0106
0.2771 0.9894 0.6863
0.2771 0.3137 0.3031
0.0000 0.3333 0.6667
0.5000 0.6667 0.3333
0.5000 0.0000 0.0000
```

Computed properties:
- formation energy (no corrections) (meV per atom) = -2123
- space group = P312

***

6.
A relaxed structure of PuBeGaO6, computed with GGA-PBE.

```
PuBeGaO6
1.0
-1.0051 -4.5492 1.6494
4.6928 1.4352 -0.5865
0.1262 2.9988 8.3481
O Pu Ga Be
12 2 2 2
Direct
0.9795 0.6517 0.3691
0.0205 0.6722 0.8691
0.9795 0.3278 0.1309
0.3278 0.9795 0.6309
0.3278 0.3483 0.8691
0.6722 0.6517 0.1309
0.6517 0.9795 0.8691
0.6517 0.6722 0.6309
0.6722 0.0205 0.3691
0.0205 0.3483 0.6309
0.3483 0.0205 0.1309
0.3483 0.3278 0.3691
0.3333 0.6667 0.2500
0.6667 0.3333 0.7500
0.0000 0.0000 0.5000
0.0000 0.0000 0.0000
0.3333 0.6667 0.7500
0.6667 0.3333 0.2500
```

Computed properties:
- formation energy (no corrections) (meV per atom) = -1976
- space group = P-31c

***

7.
A relaxed structure of RbBeGaO3, computed with GGA-PBE.

```
RbBeGaO3
1.0
-1.5474 -1.1999 -2.3120
-0.4802 -6.4960 3.6929
-5.8618 4.7424 1.4620
Ga O Be Rb
2 6 2 2
Direct
0.2500 0.6604 0.1357
0.7500 0.3396 0.8643
0.7500 0.1491 0.5441
0.7500 0.8485 0.1684
0.2500 0.5147 0.8548
0.2500 0.8509 0.4559
0.7500 0.4853 0.1452
0.2500 0.1515 0.8316
0.2500 0.0857 0.6042
0.7500 0.9143 0.3958
0.2500 0.2214 0.2453
0.7500 0.7786 0.7547
```

Computed properties:
- formation energy (no corrections) (meV per atom) = -1983
- space group = P2_1/m

***

8.
A relaxed structure of BeGa2SO, computed with GGA-PBE.

```
BeGa2SO
1.0
4.7178 0.0000 0.0000
0.0000 3.7673 0.0000
0.0000 0.0000 4.7178
Be O Ga S
1 1 2 1
Direct
0.0000 0.0000 0.0000
0.5000 0.5000 0.5000
0.5000 0.0000 0.0000
0.0000 0.0000 0.5000
0.0000 0.5000 0.0000
```

Computed properties:
- formation energy (no corrections) (meV per atom) = 294
- space group = P4/mmm